(1)
This record from Alexandria via LeMat-Bulk describes a geometry-optimized TmNbTc4 structure. The functional is GGA-PBE.

Results
The crystal system is cubic. The total energy comes out at -9.445 eV per atom. The calculation puts the formation energy at -0.11 eV per atom. For the total magnetization, the calculation gives 0.00 μB/f.u.

Unit cell a=7.441 b=7.441 c=7.441 alpha=90.00 beta=90.00 gamma=90.00
Space group F-43m (No. 216)
Asymmetric unit:
Tm  0.000  0.000  0.000 (multiplicity 4)
Nb  0.250  0.250  0.250 (multiplicity 4)
Tc  0.125  0.125  0.625 (multiplicity 16)

=====

(2)
This record from Alexandria via LeMat-Bulk describes a geometry-optimized Tm2NbTc3 structure. The functional is GGA-PBE.

Results
The crystal system is monoclinic. The total energy comes out at -8.539 eV per atom. The calculation puts the formation energy at -0.19 eV per atom. For the total magnetization, the calculation gives 0.00 μB/f.u.

Unit cell a=9.401 b=5.449 c=5.451 alpha=90.00 beta=125.05 gamma=90.00
Space group C2/m (No. 12)
Asymmetric unit:
Tm  0.122  0.000  0.367 (multiplicity 4)
Nb  0.000  0.500  0.500 (multiplicity 2)
Tc  0.000  0.500  0.000 (multiplicity 2)
Tc  0.250  0.250  0.000 (multiplicity 4)

=====

(3)
This record from Alexandria via LeMat-Bulk describes a geometry-optimized TmNb4Tc5 structure. The functional is GGA-PBE.

Results
The crystal system is tetragonal. The total energy comes out at -9.945 eV per atom. The calculation puts the formation energy at -0.29 eV per atom. For the total magnetization, the calculation gives 0.00 μB/f.u.

Unit cell a=3.215 b=3.215 c=16.332 alpha=90.00 beta=90.00 gamma=90.00
Space group P4/mmm (No. 123)
Asymmetric unit:
Tm  0.000  0.000  0.000 (multiplicity 1)
Nb  0.000  0.000  0.205 (multiplicity 2)
Nb  0.000  0.000  0.402 (multiplicity 2)
Tc  0.500  0.500  0.116 (multiplicity 2)
Tc  0.500  0.500  0.307 (multiplicity 2)
Tc  0.500  0.500  0.500 (multiplicity 1)

=====

(4)
This record from Alexandria via LeMat-Bulk describes a geometry-optimized TmNbZnTc structure. The functional is GGA-PBE.

Results
The crystal system is cubic. The total energy comes out at -6.632 eV per atom. The calculation puts the formation energy at -0.09 eV per atom. For the total magnetization, the calculation gives 0.00 μB/f.u.

Unit cell a=6.619 b=6.619 c=6.619 alpha=90.00 beta=90.00 gamma=90.00
Space group F-43m (No. 216)
Asymmetric unit:
Tm  0.000  0.000  0.000 (multiplicity 4)
Nb  0.000  0.000  0.500 (multiplicity 4)
Zn  0.250  0.250  0.250 (multiplicity 4)
Tc  0.250  0.250  0.750 (multiplicity 4)

=====

(5)
This record from Alexandria via LeMat-Bulk describes a geometry-optimized UNbTc4 structure. The functional is GGA-PBE.

Results
The crystal system is cubic. The total energy comes out at -10.379 eV per atom. The calculation puts the formation energy at 0.09 eV per atom. For the total magnetization, the calculation gives 0.81 μB/f.u.

Unit cell a=7.450 b=7.450 c=7.450 alpha=90.00 beta=90.00 gamma=90.00
Space group F-43m (No. 216)
Asymmetric unit:
U  0.000  0.000  0.000 (multiplicity 4)
Nb  0.250  0.250  0.750 (multiplicity 4)
Tc  0.124  0.124  0.376 (multiplicity 16)

=====

(6)
This record from Alexandria via LeMat-Bulk describes a geometry-optimized Nb5VTc2 structure. The functional is GGA-PBE.

Results
The crystal system is tetragonal. The total energy comes out at -10.212 eV per atom. The calculation puts the formation energy at -0.19 eV per atom. For the total magnetization, the calculation gives 0.00 μB/f.u.

Unit cell a=6.442 b=6.442 c=6.419 alpha=90.00 beta=90.00 gamma=90.00
Space group I4/mmm (No. 139)
Asymmetric unit:
Nb  0.000  0.000  0.000 (multiplicity 2)
Nb  0.250  0.250  0.250 (multiplicity 8)
V  0.000  0.000  0.500 (multiplicity 2)
Tc  0.000  0.500  0.000 (multiplicity 4)

=====

(7)
This record from Alexandria via LeMat-Bulk describes a geometry-optimized NbV3Tc structure. The functional is GGA-PBE.

Results
The crystal system is monoclinic. The total energy comes out at -9.548 eV per atom. The calculation puts the formation energy at 0.01 eV per atom. The calculation puts the polymorph energy (0 for the lowest one) at 36 meV/atom. For the total magnetization, the calculation gives 0.00 μB/f.u.

Unit cell a=15.456 b=3.002 c=6.896 alpha=90.00 beta=108.52 gamma=90.00
Space group C2/m (No. 12)
Asymmetric unit:
Nb  0.118  0.000  0.150 (multiplicity 4)
V  0.051  0.000  0.722 (multiplicity 4)
V  0.188  0.500  0.900 (multiplicity 4)
V  0.227  0.000  0.629 (multiplicity 4)
Tc  0.090  0.500  0.454 (multiplicity 4)

=====

(8)
This record from Alexandria via LeMat-Bulk describes a geometry-optimized NbV3Tc structure. The functional is GGA-PBE.

Results
The crystal system is cubic. The total energy comes out at -8.505 eV per atom. The calculation puts the formation energy at 1.05 eV per atom. The calculation puts the polymorph energy (0 for the lowest one) at 1080 meV/atom. For the total magnetization, the calculation gives 1.92 μB/f.u.

Unit cell a=4.488 b=4.488 c=4.488 alpha=90.00 beta=90.00 gamma=90.00
Space group Pm-3m (No. 221)
Asymmetric unit:
Nb  0.000  0.000  0.000 (multiplicity 1)
V  0.000  0.500  0.500 (multiplicity 3)
Tc  0.500  0.500  0.500 (multiplicity 1)

=====

(9)
This record from Alexandria via LeMat-Bulk describes a geometry-optimized Nb2VTc2 structure. The functional is GGA-PBE.

Results
The crystal system is orthorhombic. The total energy comes out at -10.001 eV per atom. The calculation puts the formation energy at 0.00 eV per atom. The calculation puts the polymorph energy (0 for the lowest one) at 0 meV/atom. For the total magnetization, the calculation gives 0.00 μB/f.u.

Unit cell a=3.040 b=17.674 c=3.036 alpha=90.00 beta=90.00 gamma=90.00
Space group Cmmm (No. 65)
Asymmetric unit:
Nb  0.000  0.181  0.000 (multiplicity 4)
V  0.000  0.000  0.000 (multiplicity 2)
Tc  0.000  0.416  0.500 (multiplicity 4)

=====

(10)
This record from Alexandria via LeMat-Bulk describes a geometry-optimized NbV4Tc structure. The functional is GGA-PBE.

Results
The crystal system is orthorhombic. The total energy comes out at -9.287 eV per atom. The calculation puts the formation energy at 0.20 eV per atom. The calculation puts the polymorph energy (0 for the lowest one) at 334 meV/atom. For the total magnetization, the calculation gives 0.00 μB/f.u.

Unit cell a=4.451 b=16.273 c=4.984 alpha=90.00 beta=90.00 gamma=90.00
Space group Cmc2_1 (No. 36)
Asymmetric unit:
Nb  0.000  0.055  0.000 (multiplicity 4)
V  0.000  0.158  0.488 (multiplicity 4)
V  0.000  0.232  0.049 (multiplicity 4)
V  0.000  0.322  0.672 (multiplicity 4)
V  0.000  0.381  0.224 (multiplicity 4)
Tc  0.000  0.463  0.793 (multiplicity 4)

=====

(11)
This record from Alexandria via LeMat-Bulk describes a geometry-optimized Nb2VTc2 structure. The functional is GGA-PBE.

Results
The crystal system is tetragonal. The total energy comes out at -9.723 eV per atom. The calculation puts the formation energy at 0.27 eV per atom. The calculation puts the polymorph energy (0 for the lowest one) at 278 meV/atom. For the total magnetization, the calculation gives 1.33 μB/f.u.

Unit cell a=7.241 b=7.241 c=3.223 alpha=90.00 beta=90.00 gamma=90.00
Space group P4/mbm (No. 127)
Asymmetric unit:
Nb  0.165  0.335  0.000 (multiplicity 4)
V  0.000  0.000  0.500 (multiplicity 2)
Tc  0.140  0.640  0.500 (multiplicity 4)

=====

(12)
This record from Alexandria via LeMat-Bulk describes a geometry-optimized NbVTc3 structure. The functional is GGA-PBE.

Results
The crystal system is cubic. The total energy comes out at -8.271 eV per atom. The calculation puts the formation energy at 1.79 eV per atom. The calculation puts the polymorph energy (0 for the lowest one) at 879 meV/atom. For the total magnetization, the calculation gives 0.10 μB/f.u.

Unit cell a=4.679 b=4.679 c=4.679 alpha=90.00 beta=90.00 gamma=90.00
Space group Pm-3m (No. 221)
Asymmetric unit:
Nb  0.000  0.000  0.000 (multiplicity 1)
V  0.500  0.500  0.500 (multiplicity 1)
Tc  0.000  0.000  0.500 (multiplicity 3)